1.
The following is a PBE-GGA calculation of crystalline LaSmFeAg at its relaxed geometry, from the Alexandria database.

Summary:
DFT formation energy in eV/f.u.: 0.23
Size of the total moment in μB/f.u.: 1.26

Lattice parameters (Å, degrees): 7.298 7.298 7.298 90.00 90.00 90.00
Sites, in units of the cell vectors:
La1 0.000 0.000 0.000
La2 0.000 0.500 0.500
La3 0.500 0.000 0.500
La4 0.500 0.500 0.000
Sm1 0.000 0.000 0.500
Sm2 0.000 0.500 0.000
Sm3 0.500 0.000 0.000
Sm4 0.500 0.500 0.500
Fe1 0.250 0.250 0.750
Fe2 0.250 0.750 0.250
Fe3 0.750 0.250 0.250
Fe4 0.750 0.750 0.750
Ag1 0.250 0.250 0.250
Ag2 0.250 0.750 0.750
Ag3 0.750 0.250 0.750
Ag4 0.750 0.750 0.250



2.
The following is a PBE-GGA calculation of crystalline LaFe2AgTe at its relaxed geometry, from the Alexandria database.

Summary:
Raw total energy in eV/cell: -21.33
Size of the total moment in μB/f.u.: 3.81

Lattice parameters (Å, degrees): 4.694 4.694 5.719 90.00 90.00 90.00
Sites, in units of the cell vectors:
La1 0.000 0.000 0.000
Fe1 0.000 0.500 0.000
Fe2 0.500 0.000 0.000
Ag1 0.000 0.000 0.500
Te1 0.500 0.500 0.500



3.
The following is a PBE-GGA calculation of crystalline La2FeAgW at its relaxed geometry, from the Alexandria database.

Summary:
Energy above the lowest structure with this stoichiometry in eV/f.u.: 0.00
DFT formation energy in eV/f.u.: 3.24
Size of the total moment in μB/f.u.: 1.57

Lattice parameters (Å, degrees): 5.646 5.646 4.484 90.00 90.00 90.00
Sites, in units of the cell vectors:
La1 0.000 0.500 0.000
La2 0.500 0.000 0.000
Fe1 0.000 0.000 0.500
Ag1 0.500 0.500 0.500
W1 0.000 0.000 0.000



4.
The following is a PBE-GGA calculation of crystalline La2FeAgW at its relaxed geometry, from the Alexandria database.

Summary:
Energy above the lowest structure with this stoichiometry in eV/f.u.: 3.80
DFT formation energy in eV/f.u.: 7.04
Size of the total moment in μB/f.u.: 5.54

Lattice parameters (Å, degrees): 5.651 5.651 4.694 90.00 90.00 90.00
Sites, in units of the cell vectors:
La1 0.000 0.500 0.000
La2 0.500 0.000 0.000
Fe1 0.000 0.000 0.500
Ag1 0.000 0.000 0.000
W1 0.500 0.500 0.500



5.
The following is a PBE-GGA calculation of crystalline La2YFeAg at its relaxed geometry, from the Alexandria database.

Summary:
DFT formation energy in eV/f.u.: 0.09
Size of the total moment in μB/f.u.: 0.00

Lattice parameters (Å, degrees): 5.122 5.122 5.435 90.00 90.00 90.00
Sites, in units of the cell vectors:
La1 0.000 0.500 0.000
La2 0.500 0.000 0.000
Y1 0.000 0.000 0.500
Fe1 0.000 0.000 0.000
Ag1 0.500 0.500 0.500



6.
The following is a PBE-GGA calculation of crystalline La2ZnFeAg at its relaxed geometry, from the Alexandria database.

Summary:
DFT formation energy in eV/f.u.: -0.37
Size of the total moment in μB/f.u.: 0.00

Lattice parameters (Å, degrees): 5.121 5.121 4.771 90.00 90.00 90.00
Sites, in units of the cell vectors:
La1 0.000 0.500 0.000
La2 0.500 0.000 0.000
Zn1 0.000 0.000 0.500
Fe1 0.000 0.000 0.000
Ag1 0.500 0.500 0.500



7.
The following is a PBE-GGA calculation of crystalline Li2FeAg at its relaxed geometry, from the Alexandria database.

Summary:
DFT formation energy in eV/f.u.: 0.94
Size of the total moment in μB/f.u.: 2.51

Lattice parameters (Å, degrees): 2.778 4.584 9.226 90.00 90.00 90.00
Sites, in units of the cell vectors:
Li1 0.000 0.000 0.000
Li2 0.000 0.500 0.248
Li3 0.500 0.000 0.748
Li4 0.500 0.500 0.500
Fe1 0.000 0.500 0.749
Fe2 0.500 0.000 0.249
Ag1 0.000 0.000 0.502
Ag2 0.500 0.500 0.002



8.
The following is a PBE-GGA calculation of crystalline LiFe2Ag at its relaxed geometry, from the Alexandria database.

Summary:
DFT formation energy in eV/f.u.: 0.73
Size of the total moment in μB/f.u.: 5.14

Lattice parameters (Å, degrees): 3.042 4.347 8.566 90.00 90.00 90.00
Sites, in units of the cell vectors:
Li1 0.000 0.000 0.000
Li2 0.500 0.500 0.000
Fe1 0.000 0.000 0.535
Fe2 0.000 0.500 0.746
Fe3 0.500 0.000 0.746
Fe4 0.500 0.500 0.535
Ag1 0.000 0.500 0.266
Ag2 0.500 0.000 0.266



9.
The following is a PBE-GGA calculation of crystalline Li2FeAg at its relaxed geometry, from the Alexandria database.

Summary:
DFT formation energy in eV/f.u.: 0.98
Size of the total moment in μB/f.u.: 2.48

Lattice parameters (Å, degrees): 3.824 3.824 4.049 90.00 90.00 90.00
Sites, in units of the cell vectors:
Li1 0.000 0.500 0.000
Li2 0.500 0.000 0.000
Fe1 0.000 0.000 0.500
Ag1 0.500 0.500 0.500



10.
The following is a PBE-GGA calculation of crystalline Li2FeAg at its relaxed geometry, from the Alexandria database.

Summary:
DFT formation energy in eV/f.u.: 0.84
Size of the total moment in μB/f.u.: 2.53

Lattice parameters (Å, degrees): 2.783 4.671 9.188 90.00 90.00 90.00
Sites, in units of the cell vectors:
Li1 0.000 0.000 0.248
Li2 0.000 0.000 0.752
Li3 0.500 0.500 0.252
Li4 0.500 0.500 0.748
Fe1 0.000 0.500 0.500
Fe2 0.500 0.000 0.000
Ag1 0.000 0.500 0.000
Ag2 0.500 0.000 0.500



11.
The following is a PBE-GGA calculation of crystalline LiFe2Ag at its relaxed geometry, from the Alexandria database.

Summary:
DFT formation energy in eV/f.u.: 0.98
Size of the total moment in μB/f.u.: 4.88

Lattice parameters (Å, degrees): 2.667 2.667 27.196 90.00 90.00 120.00
Sites, in units of the cell vectors:
Li1 0.000 0.000 0.000
Li2 0.333 0.667 0.667
Li3 0.667 0.333 0.333
Fe1 0.000 0.000 0.491
Fe2 0.000 0.000 0.748
Fe3 0.333 0.667 0.158
Fe4 0.333 0.667 0.415
Fe5 0.667 0.333 0.081
Fe6 0.667 0.333 0.825
Ag1 0.000 0.000 0.246
Ag2 0.333 0.667 0.913
Ag3 0.667 0.333 0.579



12.
The following is a PBE-GGA calculation of crystalline Li2FeAg at its relaxed geometry, from the Alexandria database.

Summary:
DFT formation energy in eV/f.u.: 0.75
Size of the total moment in μB/f.u.: 2.63

Lattice parameters (Å, degrees): 2.660 4.133 5.517 90.00 90.00 90.00
Sites, in units of the cell vectors:
Li1 0.000 0.000 0.000
Li2 0.500 0.500 0.256
Fe1 0.500 0.500 0.746
Ag1 0.000 0.000 0.515